No. 1
{"formula": "ZrOs3Ru", "functional": "GGA-PBE", "state": "optimized geometry", "lattice": [[4.7383, 0.0000, 0.0000], [0.0000, 4.7383, 0.0000], [0.0000, 0.0000, 4.7383]], "species": ["Zr", "Os", "Os", "Os", "Ru"], "fractional_positions": [[0.0000, 0.0000, 0.0000], [0.0000, 0.0000, 0.5000], [0.0000, 0.5000, 0.0000], [0.5000, 0.0000, 0.0000], [0.5000, 0.5000, 0.5000]], "total_energy_ev_per_atom": -7.515, "spacegroup": "Pm-3m (221)", "formation_enthalpy_0k_ev_per_atom": 2.788, "polymorph_energy_mev_per_atom": 1130.2, "crystal_system": "cubic", "total_magnetization_mub_per_atom": 0.320}

No. 2
{"formula": "ZrOsRu2", "functional": "GGA-PBE", "state": "optimized geometry", "lattice": [[-1.9654, 1.9654, 9.0593], [1.9654, -1.9654, 9.0593], [1.9654, 1.9654, -9.0593]], "species": ["Zr", "Zr", "Os", "Os", "Ru", "Ru", "Ru", "Ru"], "fractional_positions": [[0.0000, 0.0000, 0.0000], [0.7500, 0.2500, 0.5000], [0.2500, 0.7500, 0.5000], [0.5000, 0.5000, 0.0000], [0.1664, 0.6250, 0.0414], [0.3750, 0.4164, 0.5414], [0.5836, 0.1250, 0.9586], [0.8750, 0.8336, 0.4586]], "total_energy_ev_per_atom": -9.136, "spacegroup": "I-42d (122)", "formation_enthalpy_0k_ev_per_atom": 0.447, "polymorph_energy_mev_per_atom": 547.2, "crystal_system": "tetragonal", "total_magnetization_mub_per_atom": 0.000}

No. 3
{"formula": "Zr3OsRu2", "functional": "GGA-PBE", "state": "optimized geometry", "lattice": [[3.2701, 0.0000, 0.0000], [0.0000, 3.2701, 0.0000], [0.0000, 0.0000, 9.9006]], "species": ["Zr", "Zr", "Zr", "Os", "Ru", "Ru"], "fractional_positions": [[0.0000, 0.0000, 0.0000], [0.0000, 0.0000, 0.3328], [0.0000, 0.0000, 0.6672], [0.5000, 0.5000, 0.5000], [0.5000, 0.5000, 0.1654], [0.5000, 0.5000, 0.8346]], "total_energy_ev_per_atom": -9.844, "spacegroup": "P4/mmm (123)", "formation_enthalpy_0k_ev_per_atom": -0.606, "crystal_system": "tetragonal", "total_magnetization_mub_per_atom": 0.000}

Repeat the third record exactly.
{"formula": "Zr3OsRu2", "functional": "GGA-PBE", "state": "optimized geometry", "lattice": [[3.2701, 0.0000, 0.0000], [0.0000, 3.2701, 0.0000], [0.0000, 0.0000, 9.9006]], "species": ["Zr", "Zr", "Zr", "Os", "Ru", "Ru"], "fractional_positions": [[0.0000, 0.0000, 0.0000], [0.0000, 0.0000, 0.3328], [0.0000, 0.0000, 0.6672], [0.5000, 0.5000, 0.5000], [0.5000, 0.5000, 0.1654], [0.5000, 0.5000, 0.8346]], "total_energy_ev_per_atom": -9.844, "spacegroup": "P4/mmm (123)", "formation_enthalpy_0k_ev_per_atom": -0.606, "crystal_system": "tetragonal", "total_magnetization_mub_per_atom": 0.000}